(1)
This record from Alexandria via LeMat-Bulk describes a relaxed Mg2PdN crystal. The functional is PBE.

## Properties
formation energy without anion corrections = -0.222 eV/atom

Cell lengths 6.4211, 6.4211, 5.4038 Å; angles 53.55, 53.55, 90.00 degrees
Sites, in units of the cell vectors:
Pd 0.7500 0.2500 0.5000
Pd 0.0000 0.0000 0.0000
Mg 0.8750 0.7844 0.7500
N 0.2500 0.7500 0.5000
N 0.5000 0.5000 0.0000
Mg 0.5344 0.1250 0.2500
Mg 0.2156 0.6250 0.2500
Mg 0.3750 0.4656 0.7500

(2)
This record from Alexandria via LeMat-Bulk describes a relaxed Mg3PdN crystal. The functional is PBE.

## Properties
formation energy without anion corrections = -0.553 eV/atom

Cell lengths 4.2346, 4.2346, 4.2346 Å; angles 90.00, 90.00, 90.00 degrees
Sites, in units of the cell vectors:
Mg 0.0000 0.5000 0.0000
Mg 0.0000 0.0000 0.5000
Mg 0.5000 0.0000 0.0000
Pd 0.5000 0.5000 0.5000
N 0.0000 0.0000 0.0000

(3)
This record from Alexandria via LeMat-Bulk describes a relaxed Mg2PdRhN crystal. The functional is PBE.

## Properties
formation energy without anion corrections = -0.395 eV/atom

Cell lengths 4.3122, 4.3122, 3.8708 Å; angles 90.00, 90.00, 90.00 degrees
Sites, in units of the cell vectors:
Rh 0.0000 0.0000 0.5000
Mg 0.0000 0.5000 0.0000
Mg 0.5000 0.0000 0.0000
Pd 0.5000 0.5000 0.5000
N 0.0000 0.0000 0.0000

Going through the records in order, we get DOS at the Fermi energy values of 3.1; 2.3; 3.1 states/eV/cell.